Density functional theory data (PBE) for crystalline BaCu2Pt at its relaxed geometry.

Results
For the offset from the most stable computed form, the calculation gives 0 meV per atom. Its symmetry is Cm. The calculation puts the calculated formation energy at -0.330 eV per atom.

```
BaCu2Pt
1.0
3.814 -2.200 0.000
3.814 2.200 0.000
-2.520 0.000 5.481
Ba Cu Pt
1 2 1
Direct
0.000 0.000 0.000
0.507 0.507 0.518
0.818 0.818 0.451
0.193 0.193 0.575
```

Density functional theory data (PBE) for crystalline BaCu2Pt at its relaxed geometry.

Results
For the offset from the most stable computed form, the calculation gives 461 meV per atom. Its symmetry is I4/mmm. The calculation puts the calculated formation energy at 0.130 eV per atom.

```
BaCu2Pt
1.0
-2.208 2.208 4.145
2.208 -2.208 4.145
2.208 2.208 -4.145
Ba Cu Pt
1 2 1
Direct
0.000 0.000 0.000
0.250 0.750 0.500
0.750 0.250 0.500
0.500 0.500 0.000
```

Density functional theory data (PBE) for crystalline Ba12Cu3Pt5 at its relaxed geometry.

Results
Its symmetry is Ia-3d. The calculation puts the calculated formation energy at -0.246 eV per atom.

```
Ba12Cu3Pt5
1.0
-9.617 9.617 9.617
9.617 -9.617 9.617
9.617 9.617 -9.617
Ba Cu Pt
48 12 20
Direct
0.036 0.212 0.123
0.036 0.324 0.912
0.088 0.623 0.412
0.088 0.712 0.676
0.088 0.877 0.412
0.088 0.964 0.676
0.123 0.036 0.212
0.123 0.588 0.912
0.176 0.212 0.588
0.176 0.464 0.588
0.212 0.123 0.036
0.212 0.588 0.176
0.288 0.324 0.912
0.288 0.464 0.377
0.324 0.912 0.036
0.324 0.912 0.288
0.377 0.288 0.464
0.377 0.588 0.912
0.412 0.088 0.623
0.412 0.088 0.877
0.412 0.824 0.536
0.412 0.824 0.788
0.464 0.377 0.288
0.464 0.588 0.176
0.536 0.412 0.824
0.536 0.623 0.712
0.588 0.176 0.212
0.588 0.176 0.464
0.588 0.912 0.123
0.588 0.912 0.377
0.623 0.412 0.088
0.623 0.712 0.536
0.676 0.088 0.712
0.676 0.088 0.964
0.712 0.536 0.623
0.712 0.676 0.088
0.788 0.412 0.824
0.788 0.877 0.964
0.824 0.536 0.412
0.824 0.788 0.412
0.877 0.412 0.088
0.877 0.964 0.788
0.912 0.036 0.324
0.912 0.123 0.588
0.912 0.288 0.324
0.912 0.377 0.588
0.964 0.676 0.088
0.964 0.788 0.877
0.125 0.250 0.375
0.125 0.375 0.750
0.250 0.375 0.125
0.250 0.875 0.625
0.375 0.125 0.250
0.375 0.750 0.125
0.625 0.250 0.875
0.625 0.875 0.750
0.750 0.125 0.375
0.750 0.625 0.875
0.875 0.625 0.250
0.875 0.750 0.625
0.000 0.000 0.000
0.000 0.000 0.500
0.000 0.500 0.000
0.000 0.500 0.500
0.125 0.750 0.875
0.125 0.875 0.250
0.250 0.125 0.875
0.250 0.625 0.375
0.375 0.250 0.625
0.375 0.625 0.750
0.500 0.000 0.000
0.500 0.000 0.500
0.500 0.500 0.000
0.500 0.500 0.500
0.625 0.375 0.250
0.625 0.750 0.375
0.750 0.375 0.625
0.750 0.875 0.125
0.875 0.125 0.750
0.875 0.250 0.125
```

Density functional theory data (PBE) for crystalline BaCu2Pt at its relaxed geometry.

Results
For the offset from the most stable computed form, the calculation gives 543 meV per atom. Its symmetry is P2/m. The calculation puts the calculated formation energy at 0.213 eV per atom.

```
BaCu2Pt
1.0
4.483 0.000 0.000
0.000 4.124 0.000
-0.909 0.000 4.508
Ba Cu Pt
1 2 1
Direct
0.000 0.000 0.000
0.500 0.000 0.500
0.500 0.500 0.000
0.000 0.500 0.500
```

Density functional theory data (PBE) for crystalline Ba6Cu2Pt at its relaxed geometry.

Results
Its symmetry is P2_1/c. The calculation puts the calculated formation energy at -0.206 eV per atom.

```
Ba6Cu2Pt
1.0
8.097 0.000 0.000
0.000 7.551 0.000
-8.067 0.000 13.816
Ba Cu Pt
12 4 2
Direct
0.002 0.241 0.339
0.002 0.259 0.839
0.326 0.238 0.662
0.326 0.262 0.162
0.326 0.727 0.000
0.326 0.773 0.500
0.674 0.227 0.500
0.674 0.273 0.000
0.674 0.738 0.838
0.674 0.762 0.338
0.998 0.741 0.161
0.998 0.759 0.661
0.325 0.001 0.325
0.325 0.499 0.825
0.675 0.501 0.175
0.675 0.999 0.675
0.000 0.000 0.500
0.000 0.500 0.000
```

Density functional theory data (PBE) for crystalline BaCu2Pt at its relaxed geometry.

Results
For the offset from the most stable computed form, the calculation gives 144 meV per atom. Its symmetry is Pm. The calculation puts the calculated formation energy at -0.186 eV per atom.

```
BaCu2Pt
1.0
4.674 0.000 0.000
0.000 4.276 0.000
-0.015 0.000 5.006
Ba Cu Pt
1 2 1
Direct
0.000 0.000 0.000
0.498 0.500 0.715
0.501 0.000 0.477
0.501 0.500 0.207
```

Density functional theory data (PBE) for crystalline RbBaCuPt2 at its relaxed geometry.

Results
Its symmetry is P4/mmm. The calculation puts the calculated formation energy at 1.457 eV per atom.

```
RbBaCuPt2
1.0
5.273 0.000 0.000
0.000 5.273 0.000
0.000 0.000 6.391
Rb Ba Cu Pt
1 1 1 2
Direct
0.000 0.000 0.000
0.000 0.000 0.500
0.500 0.500 0.500
0.000 0.500 0.000
0.500 0.000 0.000
```

Density functional theory data (PBE) for crystalline Ba2Cu3Sb4Pt at its relaxed geometry.

Results
For the formation energy without anion corrections, the calculation gives -0.53 eV per atom. Its symmetry is P-4m2.

```
Ba2Cu3Sb4Pt
1.0
4.752 0.000 0.000
0.000 4.752 0.000
0.000 0.000 10.756
Ba Cu Sb Pt
2 3 4 1
Direct
0.000 0.500 0.243
0.500 0.000 0.757
0.000 0.000 0.000
0.000 0.500 0.626
0.500 0.000 0.374
0.000 0.000 0.500
0.000 0.500 0.875
0.500 0.000 0.125
0.500 0.500 0.500
0.500 0.500 0.000
```

Density functional theory data (PBE) for crystalline Ba2CuSb4Pt3 at its relaxed geometry.

Results
For the formation energy without anion corrections, the calculation gives -0.74 eV per atom. Its symmetry is P-4m2.

```
Ba2CuSb4Pt3
1.0
4.813 0.000 0.000
0.000 4.813 0.000
0.000 0.000 10.698
Ba Cu Sb Pt
2 1 4 3
Direct
0.000 0.500 0.242
0.500 0.000 0.758
0.500 0.500 0.000
0.000 0.000 0.500
0.000 0.500 0.876
0.500 0.000 0.124
0.500 0.500 0.500
0.000 0.000 0.000
0.000 0.500 0.621
0.500 0.000 0.379
```

Density functional theory data (PBE) for crystalline BaCuSi6Pt2 at its relaxed geometry.

Results
For the formation energy without anion corrections, the calculation gives 0.02 eV per atom. Its symmetry is R-3.

```
BaCuSi6Pt2
1.0
2.465 1.423 10.183
-2.465 1.423 10.183
0.000 -2.847 10.183
Ba Cu Si Pt
1 1 6 2
Direct
0.000 0.000 0.000
0.500 0.500 0.500
0.222 0.732 0.729
0.268 0.271 0.778
0.271 0.778 0.268
0.729 0.222 0.732
0.732 0.729 0.222
0.778 0.268 0.271
0.256 0.256 0.256
0.744 0.744 0.744
```

Density functional theory data (PBE) for crystalline BaCuSiPt6 at its relaxed geometry.

Results
For the formation energy without anion corrections, the calculation gives -0.16 eV per atom. Its symmetry is Imma.

```
BaCuSiPt6
1.0
-3.761 4.302 5.761
3.761 -4.302 5.761
3.761 4.302 -5.761
Ba Cu Si Pt
2 2 2 12
Direct
0.397 0.147 0.250
0.603 0.853 0.750
0.000 0.000 0.500
0.000 0.500 0.000
0.000 0.500 0.500
0.500 0.500 0.000
0.104 0.382 0.239
0.104 0.865 0.722
0.134 0.884 0.250
0.338 0.588 0.750
0.357 0.135 0.739
0.357 0.618 0.222
0.643 0.382 0.778
0.643 0.865 0.261
0.662 0.412 0.250
0.866 0.116 0.750
0.896 0.135 0.278
0.896 0.618 0.761
```

Density functional theory data (PBE) for crystalline Ba2Cu6SiPt at its relaxed geometry.

Results
For the formation energy without anion corrections, the calculation gives -0.22 eV per atom. Its symmetry is P-1.

```
Ba2Cu6SiPt
1.0
6.249 0.000 0.000
3.113 5.434 0.000
3.086 1.786 5.862
Ba Cu Si Pt
2 6 1 1
Direct
0.209 0.208 0.377
0.791 0.792 0.623
0.243 0.643 0.867
0.244 0.247 0.865
0.356 0.755 0.135
0.644 0.245 0.865
0.756 0.753 0.135
0.757 0.357 0.133
0.000 0.000 0.000
0.500 0.500 0.500
```

Density functional theory data (PBE) for crystalline Ba2CuSn4Pt3 at its relaxed geometry.

Results
Its symmetry is P-4m2. The calculation puts the calculated formation energy at -0.693 eV per atom.

```
Ba2CuSn4Pt3
1.0
4.778 0.000 0.000
0.000 4.778 0.000
0.000 0.000 10.843
Ba Cu Sn Pt
2 1 4 3
Direct
0.000 0.500 0.245
0.500 0.000 0.755
0.500 0.500 0.000
0.000 0.000 0.500
0.000 0.500 0.879
0.500 0.000 0.121
0.500 0.500 0.500
0.000 0.000 0.000
0.000 0.500 0.627
0.500 0.000 0.373
```

Density functional theory data (PBE) for crystalline BaCuSnPt3 at its relaxed geometry.

Results
Its symmetry is Cmcm. The calculation puts the calculated formation energy at -0.347 eV per atom.

```
BaCuSnPt3
1.0
3.578 -6.356 0.000
3.578 6.356 0.000
0.000 0.000 6.076
Ba Cu Sn Pt
2 2 2 6
Direct
0.236 0.764 0.750
0.764 0.236 0.250
0.486 0.514 0.750
0.514 0.486 0.250
0.116 0.884 0.250
0.884 0.116 0.750
0.222 0.222 0.000
0.222 0.222 0.500
0.318 0.682 0.250
0.682 0.318 0.750
0.778 0.778 0.000
0.778 0.778 0.500
```

Density functional theory data (PBE) for crystalline BaCuSn2Pt4 at its relaxed geometry.

Results
Its symmetry is R-3m. The calculation puts the calculated formation energy at -0.522 eV per atom.

```
BaCuSn2Pt4
1.0
2.247 1.297 9.704
-2.247 1.297 9.704
0.000 -2.594 9.704
Ba Cu Sn Pt
1 1 2 4
Direct
0.000 0.000 0.000
0.500 0.500 0.500
0.235 0.235 0.235
0.765 0.765 0.765
0.140 0.140 0.140
0.411 0.411 0.411
0.589 0.589 0.589
0.860 0.860 0.860
```

Density functional theory data (PBE) for crystalline Ba2TlCuPt at its relaxed geometry.

Results
Its symmetry is P4/mmm. The calculation puts the calculated formation energy at -0.246 eV per atom.

```
Ba2TlCuPt
1.0
6.137 0.000 0.000
0.000 6.137 0.000
0.000 0.000 4.847
Ba Tl Cu Pt
2 1 1 1
Direct
0.000 0.500 0.000
0.500 0.000 0.000
0.000 0.000 0.500
0.500 0.500 0.500
0.500 0.500 0.000
```

Density functional theory data (PBE) for crystalline Ba2YCuPt at its relaxed geometry.

Results
Its symmetry is P4/mmm. The calculation puts the calculated formation energy at 0.569 eV per atom.

```
Ba2YCuPt
1.0
6.631 0.000 0.000
0.000 6.631 0.000
0.000 0.000 5.025
Ba Y Cu Pt
2 1 1 1
Direct
0.000 0.500 0.000
0.500 0.000 0.000
0.000 0.000 0.000
0.500 0.500 0.500
0.000 0.000 0.500
```

Density functional theory data (PBE) for crystalline BaZn4Cu2Pt at its relaxed geometry.

Results
Its symmetry is R-3m. The calculation puts the calculated formation energy at -0.203 eV per atom.

```
BaZn4Cu2Pt
1.0
2.128 1.229 9.772
-2.128 1.229 9.772
0.000 -2.458 9.772
Ba Zn Cu Pt
1 4 2 1
Direct
0.000 0.000 0.000
0.133 0.133 0.133
0.412 0.412 0.412
0.588 0.588 0.588
0.867 0.867 0.867
0.227 0.227 0.227
0.773 0.773 0.773
0.500 0.500 0.500
```

Density functional theory data (PBE) for crystalline Ba2Zn6CuPt at its relaxed geometry.

Results
Its symmetry is P-1. The calculation puts the calculated formation energy at -0.311 eV per atom.

```
Ba2Zn6CuPt
1.0
6.708 0.000 0.000
3.335 5.838 0.000
3.326 1.924 5.798
Ba Zn Cu Pt
2 6 1 1
Direct
0.209 0.205 0.375
0.791 0.795 0.625
0.253 0.258 0.835
0.256 0.654 0.836
0.346 0.743 0.164
0.654 0.257 0.836
0.744 0.346 0.164
0.747 0.742 0.165
0.500 0.500 0.500
0.000 0.000 0.000
```

Density functional theory data (PBE) for crystalline Ba2ZnCuPt at its relaxed geometry.

Results
Its symmetry is P4/mmm. The calculation puts the calculated formation energy at -0.205 eV per atom.

```
Ba2ZnCuPt
1.0
6.073 0.000 0.000
0.000 6.073 0.000
0.000 0.000 4.890
Ba Zn Cu Pt
2 1 1 1
Direct
0.000 0.500 0.000
0.500 0.000 0.000
0.000 0.000 0.500
0.500 0.500 0.500
0.000 0.000 0.000
```

Density functional theory data (PBE) for crystalline Ba2ZrCuPt at its relaxed geometry.

Results
Its symmetry is P4/mmm. The calculation puts the calculated formation energy at 0.451 eV per atom.

```
Ba2ZrCuPt
1.0
6.095 0.000 0.000
0.000 6.095 0.000
0.000 0.000 4.880
Ba Zr Cu Pt
2 1 1 1
Direct
0.000 0.500 0.000
0.500 0.000 0.000
0.000 0.000 0.500
0.500 0.500 0.500
0.500 0.500 0.000
```

| no. | total magnetization (μB/f.u.) |
| --- | --- |
| 1 | 0.0 |
| 2 | 0.0 |
| 3 | 0.0 |
| 4 | 0.0 |
| 5 | 0.0 |
| 6 | 0.0 |
| 7 | 0.0 |
| 8 | 0.0 |
| 9 | 0.0 |
| 10 | 0.0 |
| 11 | 0.0 |
| 12 | 0.0 |
| 13 | 0.0 |
| 14 | 0.0 |
| 15 | 0.0 |
| 16 | 0.0 |
| 17 | 0.9 |
| 18 | 0.0 |
| 19 | 0.0 |
| 20 | 0.0 |
| 21 | 3.3 |